[1]
# LaTiSbRh2

A relaxed LaTiSbRh2 crystal (PBE-GGA, the Alexandria database).

**E**: -5.597 eV per atom
**Formation energy without anion corrections**: 732 meV/atom
**Magnetization**: 3.11 μB/f.u.
**Volume**: 137.4 Å³ per cell
**D(E_F)**: 7.04 states/eV per cell

Cell: 4.8745 5.7819 4.8745 Å, 90.00 90.00 90.00°
Closest atoms and distances in Å follow each position.
Atoms (fractional coordinates):
Rh 0.0000 0.0000 0.5000  2 Sb 2.44
Rh 0.5000 0.0000 0.0000  2 Sb 2.44
La 0.0000 0.5000 0.0000  2 Sb 2.89
Ti 0.5000 0.5000 0.5000  4 La 3.45, 8 Rh 3.78
Sb 0.0000 0.0000 0.0000  4 Rh 2.44

=====

[2]
# La2TlSb3Rh4

A relaxed La2TlSb3Rh4 crystal (PBE-GGA, the Alexandria database).

**E**: -6.137 eV per atom
**Formation energy without anion corrections**: -738 meV/atom
**Magnetization**: 0.00 μB/f.u.
**Volume**: 222.6 Å³ per cell
**D(E_F)**: 7.94 states/eV per cell

Cell: 4.5223 4.5223 10.8835 Å, 90.00 90.00 90.00°
Closest atoms and distances in Å follow each position.
Atoms (fractional coordinates):
Rh 0.0000 0.0000 0.0000  4 Sb 2.65
Rh 0.5000 0.5000 0.0000  4 Sb 2.65
Rh 0.0000 0.5000 0.3625  3 Sb 2.55-2.71, 2 Tl 2.71
Rh 0.5000 0.0000 0.6375  3 Sb 2.55-2.71, 2 Tl 2.71
La 0.5000 0.0000 0.2481  8 Rh 3.43-3.52, 6 Sb 3.46-3.55, 2 Tl 3.55
La 0.0000 0.5000 0.7519  8 Rh 3.43-3.52, 6 Sb 3.46-3.55, 2 Tl 3.55
Sb 0.0000 0.0000 0.5000  4 Rh 2.71
Sb 0.0000 0.5000 0.1278  5 Rh 2.55-2.65
Sb 0.5000 0.0000 0.8722  5 Rh 2.55-2.65
Tl 0.5000 0.5000 0.5000  4 Rh 2.71

=====

[3]
# La2TmSb3Rh4

A relaxed La2TmSb3Rh4 crystal (PBE-GGA, the Alexandria database).

**E**: -6.532 eV per atom
**Formation energy without anion corrections**: -922 meV/atom
**Magnetization**: 0.01 μB/f.u.
**Volume**: 223.8 Å³ per cell
**D(E_F)**: 7.70 states/eV per cell

Cell: 4.4520 4.4520 11.2909 Å, 90.00 90.00 90.00°
Closest atoms and distances in Å follow each position.
Atoms (fractional coordinates):
La 0.0000 0.5000 0.7666  6 Sb 3.36-3.74, 8 Rh 3.45, 2 Tm 3.74
La 0.5000 0.0000 0.2334  6 Sb 3.36-3.74, 8 Rh 3.45, 2 Tm 3.74
Sb 0.5000 0.0000 0.8711  5 Rh 2.59-2.66
Sb 0.0000 0.0000 0.5000  4 Rh 2.74
Sb 0.0000 0.5000 0.1289  5 Rh 2.59-2.66
Rh 0.5000 0.0000 0.6419  3 Sb 2.59-2.74, 2 Tm 2.74
Rh 0.5000 0.5000 0.0000  4 Sb 2.66
Rh 0.0000 0.0000 0.0000  4 Sb 2.66
Rh 0.0000 0.5000 0.3581  3 Sb 2.59-2.74, 2 Tm 2.74
Tm 0.5000 0.5000 0.5000  4 Rh 2.74